No. 1
First-principles (PBE) data for an optimized crystal structure of TaSe, as listed in the Alexandria database.

Cell: 11.3548 11.3548 3.4914 Å, 90.00 90.00 90.00°
Element x y z (fractional)
Ta 0.0323 0.6245 0.0000
Ta 0.1338 0.2937 0.5000
Ta 0.2937 0.8662 0.5000
Ta 0.3755 0.0323 0.0000
Ta 0.6245 0.9677 0.0000
Ta 0.7063 0.1338 0.5000
Ta 0.8662 0.7063 0.5000
Ta 0.9677 0.3755 0.0000
Se 0.0810 0.7866 0.5000
Se 0.1923 0.4524 0.0000
Se 0.2134 0.0810 0.5000
Se 0.4524 0.8077 0.0000
Se 0.5476 0.1923 0.0000
Se 0.7866 0.9190 0.5000
Se 0.8077 0.5476 0.0000
Se 0.9190 0.2134 0.5000

## Properties
E_tot: -7.8772 eV per atom
Formation energy from raw total energies: -0.4 eV per formula unit
Total moment: 0.00 μB per cell
N(E_F): 0.6 states/eV/f.u.

No. 2
First-principles (PBE) data for an optimized crystal structure of MnAl2Ag, as listed in the Alexandria database.

Cell: 4.9847 4.9847 4.5275 Å, 106.11 106.11 33.62°
Element x y z (fractional)
Mn 0.0000 0.0000 0.0000
Al 0.4915 0.4915 0.4791
Al 0.7346 0.7346 0.1232
Ag 0.2447 0.2447 0.6380

## Properties
E_tot: -4.9383 eV per atom
Formation enthalpy at 0 K: -0.25 eV per formula unit
Total moment: 1.97 μB per cell
N(E_F): 1.8 states/eV/f.u.

No. 3
First-principles (PBE) data for an optimized crystal structure of BiOsSN2, as listed in the Alexandria database.

Cell: 4.1724 4.1724 5.4755 Å, 90.00 90.00 90.00°
Element x y z (fractional)
Bi 0.0000 0.0000 0.0000
Os 0.5000 0.5000 0.5000
S 0.0000 0.0000 0.5000
N 0.0000 0.5000 0.0000
N 0.5000 0.0000 0.0000

## Properties
E_tot: -4.6868 eV per atom
Formation energy from raw total energies: 12.5 eV per formula unit
Total moment: 4.98 μB per cell
N(E_F): 3.6 states/eV/f.u.

No. 4
First-principles (PBE) data for an optimized crystal structure of KTiPdCl6, as listed in the Alexandria database.

Cell: 6.5056 6.5102 6.6711 Å, 93.62 93.70 112.78°
Element x y z (fractional)
K 0.0000 0.0000 0.0000
Ti 0.6327 0.3666 0.4991
Pd 0.2876 0.7125 0.4996
Cl 0.3359 0.4193 0.2862
Cl 0.3416 0.0825 0.6557
Cl 0.5812 0.6629 0.7129
Cl 0.6323 0.1053 0.2539
Cl 0.8950 0.3648 0.7427
Cl 0.9170 0.6580 0.3430

## Properties
E_tot: -4.1058 eV per atom
Formation energy from raw total energies: -11.7 eV per formula unit
Total moment: 1.05 μB per cell
N(E_F): 1.2 states/eV/f.u.

No. 5
First-principles (PBE) data for an optimized crystal structure of TaSnHgF2, as listed in the Alexandria database.

Cell: 4.1561 4.1561 5.7849 Å, 90.00 90.00 90.00°
Element x y z (fractional)
Ta 0.0000 0.0000 0.0000
Sn 0.0000 0.0000 0.5000
Hg 0.5000 0.5000 0.5000
F 0.0000 0.5000 0.0000
F 0.5000 0.0000 0.0000

## Properties
E_tot: -5.1256 eV per atom
Formation energy from raw total energies: -5.7 eV per formula unit
Total moment: 0.00 μB per cell
N(E_F): 2.8 states/eV/f.u.

No. 6
First-principles (PBE) data for an optimized crystal structure of Ca2FeCo2, as listed in the Alexandria database.

Cell: 5.2211 5.2211 5.2211 Å, 115.65 115.65 97.71°
Element x y z (fractional)
Ca 0.2500 0.7500 0.5000
Ca 0.7500 0.2500 0.5000
Fe 0.0000 0.0000 0.0000
Co 0.3338 0.3338 0.0000
Co 0.6662 0.6662 0.0000

## Properties
E_tot: -4.7252 eV per atom
Formation enthalpy at 0 K: 3.05 eV per formula unit
Total moment: 5.11 μB per cell
N(E_F): 7.6 states/eV/f.u.

No. 7
First-principles (PBE) data for an optimized crystal structure of CaCo2Ni, as listed in the Alexandria database.

Cell: 3.0056 3.0056 6.6871 Å, 90.00 90.00 90.00°
Element x y z (fractional)
Ca 0.0000 0.0000 0.0000
Co 0.0000 0.0000 0.4913
Co 0.5000 0.5000 0.3252
Ni 0.5000 0.5000 0.6923

## Properties
E_tot: -5.2476 eV per atom
Formation enthalpy at 0 K: 1.00 eV per formula unit
Total moment: 3.53 μB per cell
N(E_F): 5.5 states/eV/f.u.

No. 8
First-principles (PBE) data for an optimized crystal structure of TeIr2Ru, as listed in the Alexandria database.

Cell: 4.7231 4.7231 5.0463 Å, 100.70 100.70 36.47°
Element x y z (fractional)
Te 0.0000 0.0000 0.0000
Ir 0.2459 0.2459 0.7146
Ir 0.4968 0.4968 0.4874
Ru 0.7500 0.7500 0.2660

## Properties
E_tot: -7.1339 eV per atom
Formation energy from raw total energies: 1.6 eV per formula unit
Total moment: 0.00 μB per cell
N(E_F): 3.7 states/eV/f.u.

No. 9
First-principles (PBE) data for an optimized crystal structure of Na3Bi4O8, as listed in the Alexandria database.

Cell: 6.9710 6.9710 6.8490 Å, 118.87 118.87 92.08°
Element x y z (fractional)
Na 0.0000 0.0000 0.0000
Na 0.0000 0.5000 0.0000
Na 0.5000 0.0000 0.0000
Bi 0.0000 0.0000 0.5000
Bi 0.0000 0.5000 0.5000
Bi 0.5000 0.0000 0.5000
Bi 0.5000 0.5000 0.0000
O 0.2298 0.2298 0.9468
O 0.2302 0.7698 0.5000
O 0.2422 0.2422 0.4992
O 0.2582 0.7418 0.0000
O 0.7418 0.2582 0.0000
O 0.7578 0.7578 0.5008
O 0.7698 0.2302 0.5000
O 0.7702 0.7702 0.0532

## Properties
E_tot: -5.1469 eV per atom
Formation energy from raw total energies: -18.1 eV per formula unit
Total moment: 0.87 μB per cell
N(E_F): 2.8 states/eV/f.u.

No. 10
First-principles (PBE) data for an optimized crystal structure of KLuTl2, as listed in the Alexandria database.

Cell: 3.8045 3.8045 8.6530 Å, 90.00 90.00 90.00°
Element x y z (fractional)
K 0.0000 0.0000 0.0000
Lu 0.0000 0.0000 0.5000
Tl 0.5000 0.5000 0.2932
Tl 0.5000 0.5000 0.7068

## Properties
E_tot: -2.7574 eV per atom
Formation enthalpy at 0 K: -0.68 eV per formula unit
Total moment: 0.00 μB per cell
N(E_F): 2.4 states/eV/f.u.

No. 11
First-principles (PBE) data for an optimized crystal structure of As3Pb2ClO6, as listed in the Alexandria database.

Cell: 20.0496 5.4622 8.4829 Å, 90.00 90.00 90.00°
Element x y z (fractional)
As 0.0456 0.2500 0.2003
As 0.1646 0.7500 0.7725
As 0.1749 0.2500 0.9678
As 0.3251 0.7500 0.4678
As 0.3354 0.2500 0.2725
As 0.4544 0.7500 0.7003
As 0.5456 0.2500 0.2997
As 0.6646 0.7500 0.7275
As 0.6749 0.2500 0.5322
As 0.8251 0.7500 0.0322
As 0.8354 0.2500 0.2275
As 0.9544 0.7500 0.7997
Pb 0.0574 0.2500 0.6139
Pb 0.1433 0.7500 0.3614
Pb 0.3567 0.2500 0.8614
Pb 0.4426 0.7500 0.1139
Pb 0.5574 0.2500 0.8861
Pb 0.6433 0.7500 0.1386
Pb 0.8567 0.2500 0.6386
Pb 0.9426 0.7500 0.3861
Cl 0.2092 0.2500 0.5530
Cl 0.2908 0.7500 0.0530
Cl 0.7092 0.2500 0.9470
Cl 0.7908 0.7500 0.4470
O 0.0490 0.0092 0.3442
O 0.0490 0.4908 0.3442
O 0.1038 0.7500 0.6199
O 0.1232 0.0031 0.8856
O 0.1232 0.4969 0.8856
O 0.1381 0.2500 0.1623
O 0.3619 0.7500 0.6623
O 0.3768 0.5031 0.3856
O 0.3768 0.9969 0.3856
O 0.3962 0.2500 0.1199
O 0.4510 0.5092 0.8442
O 0.4510 0.9908 0.8442
O 0.5490 0.0092 0.1558
O 0.5490 0.4908 0.1558
O 0.6038 0.7500 0.8801
O 0.6232 0.0031 0.6144
O 0.6232 0.4969 0.6144
O 0.6381 0.2500 0.3377
O 0.8619 0.7500 0.8377
O 0.8768 0.5031 0.1144
O 0.8768 0.9969 0.1144
O 0.8962 0.2500 0.3801
O 0.9510 0.5092 0.6558
O 0.9510 0.9908 0.6558

## Properties
E_tot: -5.6650 eV per atom
Formation energy from raw total energies: -15.0 eV per formula unit
Total moment: 0.00 μB per cell
N(E_F): 0.0 states/eV/f.u.

No. 12
First-principles (PBE) data for an optimized crystal structure of Na5LiPb, as listed in the Alexandria database.

Cell: 7.1973 7.1973 7.1973 Å, 129.06 128.80 75.13°
Element x y z (fractional)
Na 0.0000 0.0000 0.0000
Na 0.2559 0.5092 0.7468
Na 0.7387 0.4846 0.7459
Na 0.7387 0.9928 0.2541
Na 0.7624 0.5092 0.2532
Li 0.2692 0.2692 0.0000
Pb 0.2985 0.7985 0.5000

## Properties
E_tot: -1.7196 eV per atom
Formation enthalpy at 0 K: 0.18 eV per formula unit
Total moment: 0.00 μB per cell
N(E_F): 2.4 states/eV/f.u.